## CeNpAsO2 (PBE)

Data for an optimized crystal structure of CeNpAsO2.

The value obtained for the raw formation energy is -2421 meV per atom. The total moment comes out at 8.00 Bohr magnetons per cell.

Unit cell a=3.835 b=3.835 c=12.159 alpha=90.00 beta=90.00 gamma=90.00
Space group I4mm (No. 107)
Asymmetric unit:
Ce 0.000 0.000 0.000 x2
Np 0.000 0.000 0.289 x2
As 0.000 0.000 0.648 x2
O 0.000 0.500 0.392 x4

***

## CeNp2PaAs4 (PBE)

Data for an optimized crystal structure of CeNp2PaAs4.

Its formation energy is -0.969 eV per atom. The total moment comes out at 9.52 Bohr magnetons per cell.

Unit cell a=7.114 b=4.152 c=7.197 alpha=90.00 beta=109.67 gamma=90.00
Space group P2/m (No. 10)
Asymmetric unit:
Ce 0.000 0.000 0.000 x1
Np 0.500 0.000 0.500 x1
Np 0.500 0.500 0.000 x1
Pa 0.000 0.500 0.500 x1
As 0.251 0.000 0.746 x2
As 0.254 0.500 0.256 x2

***

## Ce2NpPa3As6 (PBE)

Data for an optimized crystal structure of Ce2NpPa3As6.

Its formation energy is -1.121 eV per atom. The total moment comes out at 10.35 Bohr magnetons per cell.

Unit cell a=18.022 b=4.134 c=8.262 alpha=90.00 beta=103.36 gamma=90.00
Space group C2/m (No. 12)
Asymmetric unit:
Ce 0.166 0.000 0.333 x4
Np 0.000 0.500 0.000 x2
Pa 0.000 0.500 0.500 x2
Pa 0.167 0.000 0.835 x4
As 0.002 0.000 0.750 x4
As 0.165 0.500 0.589 x4
As 0.167 0.500 0.079 x4

***

## Ce2PmNpAs4 (PBE)

Data for an optimized crystal structure of Ce2PmNpAs4.

Its formation energy is -1.262 eV per atom. The total moment comes out at 5.31 Bohr magnetons per cell.

Unit cell a=7.249 b=4.194 c=7.279 alpha=90.00 beta=109.46 gamma=90.00
Space group P2/m (No. 10)
Asymmetric unit:
Ce 0.000 0.000 0.000 x1
Ce 0.000 0.500 0.500 x1
Pm 0.500 0.000 0.500 x1
Np 0.500 0.500 0.000 x1
As 0.250 0.500 0.245 x2
As 0.254 0.000 0.756 x2

***

## CePm2NpAs4 (PBE)

Data for an optimized crystal structure of CePm2NpAs4.

Its formation energy is -1.288 eV per atom. The total moment comes out at 4.47 Bohr magnetons per cell.

Unit cell a=7.260 b=4.190 c=7.297 alpha=90.00 beta=109.40 gamma=90.00
Space group P2/m (No. 10)
Asymmetric unit:
Ce 0.000 0.000 0.000 x1
Pm 0.000 0.500 0.500 x1
Pm 0.500 0.000 0.500 x1
Np 0.500 0.500 0.000 x1
As 0.251 0.500 0.244 x2
As 0.256 0.000 0.758 x2

***

## CePr2NpAs4 (PBE)

Data for an optimized crystal structure of CePr2NpAs4.

Its formation energy is -1.272 eV per atom. The total moment comes out at 4.46 Bohr magnetons per cell.

Unit cell a=7.319 b=4.223 c=7.360 alpha=90.00 beta=109.39 gamma=90.00
Space group P2/m (No. 10)
Asymmetric unit:
Ce 0.000 0.000 0.000 x1
Pr 0.000 0.500 0.500 x1
Pr 0.500 0.000 0.500 x1
Np 0.500 0.500 0.000 x1
As 0.249 0.500 0.239 x2
As 0.258 0.000 0.763 x2

***

- Among the records above, which one has the lowest total moment?
  CePr2NpAs4

***

Repeat the sixth record exactly.
## CePr2NpAs4 (PBE)

Data for an optimized crystal structure of CePr2NpAs4.

Its formation energy is -1.272 eV per atom. The total moment comes out at 4.46 Bohr magnetons per cell.

Unit cell a=7.319 b=4.223 c=7.360 alpha=90.00 beta=109.39 gamma=90.00
Space group P2/m (No. 10)
Asymmetric unit:
Ce 0.000 0.000 0.000 x1
Pr 0.000 0.500 0.500 x1
Pr 0.500 0.000 0.500 x1
Np 0.500 0.500 0.000 x1
As 0.249 0.500 0.239 x2
As 0.258 0.000 0.763 x2

***

- Among the records above, which one has the highest total moment?
  Ce2NpPa3As6

***

- The highest total moment belongs to which entry?
  Ce2NpPa3As6